Below is crystalline ScGa3H at its relaxed geometry, with properties calculated at the GGA-PBE level.

Properties
Space group = Pm-3m
Density of states at the Fermi level = 6.16 states/eV/cell
E_tot = -13.690 eV per formula unit
M_tot = 0.464 μB/atom

abc: 5.413 5.413 5.413
angles: 90.00 90.00 90.00
Sites, in units of the cell vectors:
Sc 0.000 0.000 0.000
Ga 0.000 0.000 0.500
Ga 0.000 0.500 0.000
Ga 0.500 0.000 0.000
H 0.500 0.500 0.500